Entry 1:
## Os2WCl (PBE)

Data for Os2WCl after structural relaxation.

Results
ΔE_f (raw)   1.026 eV/atom
Density of states at the Fermi level   2.5 states/eV per cell
SG   No. 47
E_tot   -8.289 eV per atom

Unit cell a=2.826 b=4.639 c=4.608 alpha=90.00 beta=90.00 gamma=90.00
Element x y z (fractional)
Os (0.000, 0.000, 0.000)
Os (0.500, 0.500, 0.000)
W (0.500, 0.000, 0.500)
Cl (0.000, 0.500, 0.500)

Entry 2:
## Os2WCl (PBE)

Data for Os2WCl after structural relaxation.

Results
ΔE_f (raw)   0.708 eV/atom
Density of states at the Fermi level   2.7 states/eV per cell
SG   No. 123
E_tot   -8.607 eV per atom

Unit cell a=3.071 b=3.071 c=7.146 alpha=90.00 beta=90.00 gamma=90.00
Element x y z (fractional)
Os (0.000, 0.000, 0.043)
W (0.500, 0.500, 0.250)
Cl (0.500, 0.500, 0.750)
Os (0.000, 0.000, 0.457)

Entry 3:
## OsWCl4 (PBE)

Data for OsWCl4 after structural relaxation.

Results
ΔE_f (raw)   2.017 eV/atom
Density of states at the Fermi level   7.6 states/eV per cell
SG   No. 216
E_tot   -3.244 eV per atom

Unit cell a=5.519 b=5.519 c=5.519 alpha=60.00 beta=60.00 gamma=60.00
Each line ends with the local moment (μB).
Element x y z (fractional)
Cl (0.875, 0.375, 0.375)  -0.10
W (0.000, 0.000, 0.000)  -2.56
Os (0.750, 0.750, 0.750)  2.94
Cl (0.375, 0.375, 0.875)  -0.10
Cl (0.375, 0.375, 0.375)  -0.10
Cl (0.375, 0.875, 0.375)  -0.10

Entry 4:
## OsW2Cl (PBE)

Data for OsW2Cl after structural relaxation.

Results
ΔE_f (raw)   0.611 eV/atom
Density of states at the Fermi level   3.7 states/eV per cell
SG   No. 35
E_tot   -9.134 eV per atom

Unit cell a=2.818 b=2.818 c=9.315 alpha=90.00 beta=90.00 gamma=113.96
Element x y z (fractional)
Cl (0.000, 0.000, 0.466)
W (0.500, 0.500, 0.248)
W (0.000, 0.000, 0.005)
Os (0.500, 0.500, 0.781)

Entry 5:
## Os4WCl (PBE)

Data for Os4WCl after structural relaxation.

Results
ΔE_f (raw)   1.269 eV/atom
Density of states at the Fermi level   10.0 states/eV per cell
SG   No. 216
E_tot   -8.684 eV per atom

Unit cell a=5.179 b=5.179 c=5.179 alpha=60.00 beta=60.00 gamma=60.00
Element x y z (fractional)
Os (0.375, 0.375, 0.875)
W (0.750, 0.750, 0.750)
Cl (0.000, 0.000, 0.000)
Os (0.375, 0.875, 0.375)
Os (0.875, 0.375, 0.375)
Os (0.375, 0.375, 0.375)

Entry 6:
## Os2WCl (PBE)

Data for Os2WCl after structural relaxation.

Results
ΔE_f (raw)   1.229 eV/atom
Density of states at the Fermi level   4.3 states/eV per cell
SG   No. 65
E_tot   -8.085 eV per atom

Unit cell a=4.715 b=4.715 c=2.833 alpha=90.00 beta=90.00 gamma=102.37
Element x y z (fractional)
W (0.500, 0.000, 0.500)
Os (0.000, 0.000, 0.000)
Os (0.500, 0.500, 0.000)
Cl (0.000, 0.500, 0.500)

Entry 7:
## Os2WCl (PBE)

Data for Os2WCl after structural relaxation.

Results
ΔE_f (raw)   1.362 eV/atom
Density of states at the Fermi level   9.0 states/eV per cell
SG   No. 122
E_tot   -7.952 eV per atom

Unit cell a=5.757 b=5.757 c=6.448 alpha=63.49 beta=63.49 gamma=90.00
Element x y z (fractional)
Os (0.875, 0.859, 0.750)
Os (0.141, 0.625, 0.250)
Cl (0.500, 0.500, 0.000)
Cl (0.250, 0.750, 0.500)
Os (0.609, 0.125, 0.250)
W (0.750, 0.250, 0.500)
Os (0.375, 0.391, 0.750)
W (0.000, 0.000, 0.000)

Entry 8:
## OsW2Cl (PBE)

Data for OsW2Cl after structural relaxation.

Results
ΔE_f (raw)   1.092 eV/atom
Density of states at the Fermi level   2.7 states/eV per cell
SG   No. 47
E_tot   -8.654 eV per atom

Unit cell a=2.949 b=4.577 c=4.635 alpha=90.00 beta=90.00 gamma=90.00
Element x y z (fractional)
W (0.500, 0.500, 0.000)
Cl (0.500, 0.000, 0.500)
Os (0.000, 0.500, 0.500)
W (0.000, 0.000, 0.000)

Entry 9:
## Os2WCl (PBE)

Data for Os2WCl after structural relaxation.

Results
ΔE_f (raw)   0.781 eV/atom
Density of states at the Fermi level   3.4 states/eV per cell
SG   No. 25
E_tot   -8.533 eV per atom

Unit cell a=2.821 b=3.717 c=7.609 alpha=90.00 beta=90.00 gamma=90.00
Element x y z (fractional)
Os (0.000, 0.000, 0.119)
Os (0.500, 0.500, 0.251)
Cl (0.500, 0.500, 0.678)
W (0.000, 0.000, 0.452)

Entry 10:
## OsW2Cl (PBE)

Data for OsW2Cl after structural relaxation.

Results
ΔE_f (raw)   0.940 eV/atom
Density of states at the Fermi level   4.5 states/eV per cell
SG   No. 225
E_tot   -8.805 eV per atom

Unit cell a=4.454 b=4.454 c=4.454 alpha=60.00 beta=60.00 gamma=60.00
Element x y z (fractional)
Cl (0.000, 0.000, 0.000)
W (0.750, 0.750, 0.750)
W (0.250, 0.250, 0.250)
Os (0.500, 0.500, 0.500)

Entry 11:
## OsW2Cl (PBE)

Data for OsW2Cl after structural relaxation.

Results
ΔE_f (raw)   0.539 eV/atom
Density of states at the Fermi level   3.2 states/eV per cell
SG   No. 99
E_tot   -9.207 eV per atom

Unit cell a=2.867 b=2.867 c=8.040 alpha=90.00 beta=90.00 gamma=90.00
Element x y z (fractional)
W (0.500, 0.500, 0.254)
Cl (0.000, 0.000, 0.467)
W (0.000, 0.000, 0.994)
Os (0.500, 0.500, 0.785)

Entry 12:
## OsW4Cl (PBE)

Data for OsW4Cl after structural relaxation.

Results
ΔE_f (raw)   1.212 eV/atom
Density of states at the Fermi level   6.3 states/eV per cell
SG   No. 216
E_tot   -9.603 eV per atom

Unit cell a=5.271 b=5.271 c=5.271 alpha=60.00 beta=60.00 gamma=60.00
Element x y z (fractional)
W (0.127, 0.624, 0.624)
W (0.624, 0.624, 0.624)
W (0.624, 0.624, 0.127)
Cl (0.250, 0.250, 0.250)
Os (0.000, 0.000, 0.000)
W (0.624, 0.127, 0.624)

Entry 13:
## OsW2Cl (PBE)

Data for OsW2Cl after structural relaxation.

Results
ΔE_f (raw)   0.522 eV/atom
Density of states at the Fermi level   2.5 states/eV per cell
SG   No. 123
E_tot   -9.224 eV per atom

Unit cell a=2.920 b=2.920 c=6.969 alpha=90.00 beta=90.00 gamma=90.00
Element x y z (fractional)
Cl (0.500, 0.500, 0.250)
W (0.000, 0.000, 0.492)
Os (0.500, 0.500, 0.750)
W (0.000, 0.000, 0.008)

Entry 14:
## OsW2Cl (PBE)

Data for OsW2Cl after structural relaxation.

Results
ΔE_f (raw)   0.575 eV/atom
Density of states at the Fermi level   4.0 states/eV per cell
SG   No. 47
E_tot   -9.170 eV per atom

Unit cell a=3.680 b=2.867 c=6.684 alpha=90.01 beta=90.00 gamma=90.00
Element x y z (fractional)
W (0.000, 0.251, 0.948)
W (0.000, 0.249, 0.552)
Os (0.500, 0.750, 0.750)
Cl (0.500, 0.250, 0.250)

Entry 15:
## Os2WCl (PBE)

Data for Os2WCl after structural relaxation.

Results
ΔE_f (raw)   0.804 eV/atom
Density of states at the Fermi level   3.4 states/eV per cell
SG   No. 8
E_tot   -8.511 eV per atom

Unit cell a=4.473 b=4.473 c=5.407 alpha=82.16 beta=82.16 gamma=36.88
Element x y z (fractional)
Cl (0.206, 0.206, 0.310)
Os (0.027, 0.027, 0.965)
Os (0.786, 0.786, 0.783)
W (0.481, 0.481, 0.442)

Entry 16:
## Os2WCl (PBE)

Data for Os2WCl after structural relaxation.

Results
ΔE_f (raw)   0.756 eV/atom
Density of states at the Fermi level   3.6 states/eV per cell
SG   No. 12
E_tot   -8.559 eV per atom

Unit cell a=5.110 b=5.110 c=4.416 alpha=89.12 beta=89.12 gamma=32.10
Element x y z (fractional)
Os (0.031, 0.031, 0.985)
W (0.750, 0.750, 0.750)
Os (0.469, 0.469, 0.515)
Cl (0.250, 0.250, 0.250)

Entry 17:
## OsW3Cl (PBE)

Data for OsW3Cl after structural relaxation.

Results
ΔE_f (raw)   1.658 eV/atom
Density of states at the Fermi level   5.1 states/eV per cell
SG   No. 221
E_tot   -8.729 eV per atom

Unit cell a=4.350 b=4.350 c=4.350 alpha=90.00 beta=90.00 gamma=90.00
Element x y z (fractional)
Cl (0.000, 0.000, 0.000)
W (0.500, 0.000, 0.000)
Os (0.500, 0.500, 0.500)
W (0.000, 0.500, 0.000)
W (0.000, 0.000, 0.500)

Entry 18:
## Os2WCl (PBE)

Data for Os2WCl after structural relaxation.

Results
ΔE_f (raw)   0.565 eV/atom
Density of states at the Fermi level   3.0 states/eV per cell
SG   No. 6
E_tot   -8.750 eV per atom

Unit cell a=3.710 b=2.824 c=7.964 alpha=69.38 beta=90.00 gamma=90.00
Element x y z (fractional)
Os (0.000, 0.012, 0.112)
W (0.000, 0.669, 0.457)
Cl (0.500, 0.442, 0.684)
Os (0.500, 0.377, 0.247)

Entry 19:
## OsWCl3 (PBE)

Data for OsWCl3 after structural relaxation.

Results
ΔE_f (raw)   1.469 eV/atom
Density of states at the Fermi level   7.1 states/eV per cell
SG   No. 221
E_tot   -4.475 eV per atom

Unit cell a=4.802 b=4.802 c=4.802 alpha=90.00 beta=90.00 gamma=90.00
Each line ends with the local moment (μB).
Element x y z (fractional)
Cl (0.500, 0.000, 0.000)  -0.09
Cl (0.000, 0.000, 0.500)  0.01
Cl (0.000, 0.500, 0.000)  -0.02
W (0.500, 0.500, 0.500)  3.54
Os (0.000, 0.000, 0.000)  -0.96

Entry 20:
## OsW2Cl (PBE)

Data for OsW2Cl after structural relaxation.

Results
ΔE_f (raw)   0.850 eV/atom
Density of states at the Fermi level   2.4 states/eV per cell
SG   No. 25
E_tot   -8.896 eV per atom

Unit cell a=2.836 b=4.018 c=5.651 alpha=90.00 beta=90.00 gamma=90.00
Element x y z (fractional)
W (0.000, 0.000, 0.966)
Cl (0.000, 0.000, 0.500)
W (0.500, 0.500, 0.249)
Os (0.500, 0.500, 0.785)